This record from the Alexandria database describes an optimized crystal structure of LiCrRhO4. The functional is PBE+U.

Properties
Its density of states at the Fermi level is 7.65 states/eV per cell. As for the total energy: -0.4933 Ry/atom. Its space-group type is Imma (74).

a = 5.964 Å, b = 5.997 Å, c = 5.997 Å
α = 61.56°, β = 60.18°, γ = 60.18°
Last column: magnetic moment on the atom in μB.
Atoms (fractional coordinates):
Li: 0.634 0.616 0.116  0.00
Li: 0.366 0.384 0.884  0.00
Cr: 0.500 0.000 0.500  2.96
Cr: 0.000 0.000 0.500  2.96
Rh: 0.000 0.000 0.000  -0.54
Rh: 0.000 0.500 0.500  -0.54
O: 0.760 0.769 0.711  -0.10
O: 0.240 0.789 0.731  -0.10
O: 0.760 0.211 0.269  -0.10
O: 0.240 0.231 0.289  -0.10
O: 0.216 0.758 0.258  -0.09
O: 0.768 0.758 0.258  -0.09
O: 0.232 0.242 0.742  -0.09
O: 0.784 0.242 0.742  -0.09